1.
{
  "formula": "Hf5Ge4",
  "functional": "PBE-GGA",
  "state": "relaxed",
  "delta_e_f_ev_per_atom": -0.708,
  "magmom_total_mub_per_cell": 0.0,
  "dft_energy_ev_per_atom": -8.29,
  "polymorph_energy_mev_per_atom": 0.0,
  "lattice": [[-1.4422, -5.9323, 3.5464], [5.3831, 1.3667, 4.4752], [-8.4086, 6.8418, 8.0249]],
  "species": ["Hf", "Hf", "Hf", "Hf", "Hf", "Hf", "Hf", "Hf", "Hf", "Hf", "Hf", "Hf", "Hf", "Hf", "Hf", "Hf", "Hf", "Hf", "Hf", "Hf", "Ge", "Ge", "Ge", "Ge", "Ge", "Ge", "Ge", "Ge", "Ge", "Ge", "Ge", "Ge", "Ge", "Ge", "Ge", "Ge"],
  "frac_coords": [[0.0169, 0.3237, 0.9049], [0.5169, 0.1763, 0.5951], [0.4831, 0.8237, 0.0951], [0.9831, 0.6763, 0.4049], [0.0169, 0.3237, 0.5951], [0.5169, 0.1763, 0.9049], [0.4831, 0.8237, 0.4049], [0.9831, 0.6763, 0.0951], [0.8551, 0.8332, 0.8762], [0.3551, 0.6668, 0.6238], [0.6449, 0.3332, 0.1238], [0.1449, 0.1668, 0.3762], [0.1449, 0.1668, 0.1238], [0.6449, 0.3332, 0.3762], [0.3551, 0.6668, 0.8762], [0.8551, 0.8332, 0.6238], [0.1821, 0.0020, 0.7500], [0.6821, 0.4980, 0.7500], [0.3179, 0.5020, 0.2500], [0.8179, 0.9980, 0.2500], [0.6975, 0.5337, 0.9590], [0.1975, 0.9663, 0.5410], [0.8025, 0.0337, 0.0410], [0.3025, 0.4663, 0.4590], [0.3025, 0.4663, 0.0410], [0.8025, 0.0337, 0.4590], [0.1975, 0.9663, 0.9590], [0.6975, 0.5337, 0.5410], [0.3220, 0.3533, 0.7500], [0.8220, 0.1467, 0.7500], [0.1780, 0.8533, 0.2500], [0.6780, 0.6467, 0.2500], [0.0541, 0.6121, 0.7500], [0.5541, 0.8879, 0.7500], [0.4459, 0.1121, 0.2500], [0.9459, 0.3879, 0.2500]]
}



2.
{
  "formula": "MgInAu4",
  "functional": "PBE-GGA",
  "state": "relaxed",
  "delta_e_f_ev_per_atom": -0.305,
  "magmom_total_mub_per_cell": 0.0,
  "dft_energy_ev_per_atom": -3.21,
  "polymorph_energy_mev_per_atom": 0.0,
  "lattice": [[4.3597, -0.2748, 2.4073], [0.5945, 4.9067, 0.3297], [-0.0254, -0.1386, 5.1975]],
  "species": ["Mg", "In", "Au", "Au", "Au", "Au"],
  "frac_coords": [[0.0000, 0.5000, 0.5000], [0.5000, 0.0000, 0.5000], [0.3355, 0.5000, 0.8290], [0.6645, 0.5000, 0.1710], [0.1612, 0.0000, 0.1777], [0.8388, 0.0000, 0.8223]]
}



3.
{
  "formula": "BeFe2BPt",
  "functional": "PBE-GGA",
  "state": "relaxed",
  "delta_e_f_ev_per_atom": 0.941,
  "magmom_total_mub_per_cell": 4.1,
  "dft_energy_ev_per_atom": -5.73,
  "lattice": [[3.8422, 0.0000, 0.0000], [0.0000, 4.1050, 0.0000], [0.0000, 0.0000, 3.8422]],
  "species": ["Be", "B", "Fe", "Fe", "Pt"],
  "frac_coords": [[0.0000, 0.0000, 0.0000], [0.5000, 0.5000, 0.5000], [0.0000, 0.0000, 0.5000], [0.5000, 0.0000, 0.0000], [0.0000, 0.5000, 0.0000]]
}



4.
{
  "formula": "ZrIr2Os",
  "functional": "PBE-GGA",
  "state": "relaxed",
  "delta_e_f_ev_per_atom": 0.068,
  "magmom_total_mub_per_cell": 0.0,
  "dft_energy_ev_per_atom": -9.31,
  "polymorph_energy_mev_per_atom": 536.4,
  "lattice": [[-4.4342, 1.6191, -8.2754], [-2.3816, -0.0390, -9.2245], [-4.7295, -1.1681, -8.1873]],
  "species": ["Ir", "Ir", "Os", "Zr"],
  "frac_coords": [[0.9959, 0.9959, 0.9959], [0.2487, 0.2487, 0.2487], [0.5065, 0.5065, 0.5065], [0.7489, 0.7489, 0.7489]]
}



5.
{
  "formula": "LaTePb",
  "functional": "PBE-GGA",
  "state": "relaxed",
  "formation_energy_uncorrected_kj_per_mol_fu": -220,
  "magmom_total_mub_per_cell": 0.0,
  "dft_energy_ev_per_atom": -4.69,
  "lattice": [[-0.6914, 1.0729, -6.2721], [1.5840, -2.4286, -5.7062], [-3.2031, -2.3173, -1.4589]],
  "species": ["La", "Pb", "Te"],
  "frac_coords": [[0.0188, 0.0188, 0.9812], [0.3482, 0.3482, 0.6518], [0.6329, 0.6329, 0.3671]]
}



6.
{
  "formula": "Cs3MgIn",
  "functional": "PBE-GGA",
  "state": "relaxed",
  "delta_e_f_ev_per_atom": 0.419,
  "magmom_total_mub_per_cell": 0.0,
  "dft_energy_ev_per_atom": -0.96,
  "lattice": [[7.4472, 0.0000, 0.0000], [0.0000, 7.4472, 0.0000], [0.0000, 0.0000, 7.4472]],
  "species": ["Cs", "Cs", "Cs", "Mg", "In"],
  "frac_coords": [[0.0000, 0.5000, 0.0000], [0.0000, 0.0000, 0.5000], [0.5000, 0.0000, 0.0000], [0.0000, 0.0000, 0.0000], [0.5000, 0.5000, 0.5000]]
}



7.
{
  "formula": "CsTl4Sb",
  "functional": "PBE-GGA",
  "state": "relaxed",
  "formation_energy_uncorrected_kj_per_mol_fu": 10,
  "magmom_total_mub_per_cell": 0.0,
  "dft_energy_ev_per_atom": -2.39,
  "polymorph_energy_mev_per_atom": 140.1,
  "lattice": [[6.7093, 0.0000, 0.0000], [3.3546, 5.8104, 0.0000], [3.3546, 1.9368, 5.4781]],
  "species": ["Cs", "Sb", "Tl", "Tl", "Tl", "Tl"],
  "frac_coords": [[0.2500, 0.2500, 0.2500], [0.0000, 0.0000, 0.0000], [0.6265, 0.6265, 0.1205], [0.6265, 0.1205, 0.6265], [0.6265, 0.6265, 0.6265], [0.1205, 0.6265, 0.6265]]
}



8.
{
  "formula": "Y2HgPb",
  "functional": "PBE-GGA",
  "state": "relaxed",
  "delta_e_f_ev_per_atom": -0.247,
  "magmom_total_mub_per_cell": 0.0,
  "dft_energy_ev_per_atom": -4.48,
  "lattice": [[3.6707, 0.0713, 0.0000], [-0.0726, 3.6706, 0.0000], [0.0000, 0.0000, 8.5860]],
  "species": ["Hg", "Pb", "Y", "Y"],
  "frac_coords": [[0.0000, 0.0000, 0.4938], [0.5000, 0.5000, 0.7299], [0.0000, 0.0000, 0.9942], [0.5000, 0.5000, 0.2821]]
}



9.
{
  "formula": "Pa3ZnCo2Sn3",
  "functional": "PBE-GGA",
  "state": "relaxed",
  "delta_e_f_ev_per_atom": -0.251,
  "magmom_total_mub_per_cell": 0.0,
  "dft_energy_ev_per_atom": -6.47,
  "lattice": [[3.9644, 0.0000, 0.0000], [0.0000, 7.3895, 0.0000], [0.0000, -3.6947, 6.3995]],
  "species": ["Pa", "Pa", "Pa", "Zn", "Co", "Co", "Sn", "Sn", "Sn"],
  "frac_coords": [[0.0000, 0.6011, 0.6011], [0.0000, 0.0000, 0.3989], [0.0000, 0.3989, 0.0000], [0.0000, 0.0000, 0.0000], [0.5000, 0.6667, 0.3333], [0.5000, 0.3333, 0.6667], [0.5000, 0.7280, 0.0000], [0.5000, 0.0000, 0.7280], [0.5000, 0.2720, 0.2720]]
}



10.
{
  "formula": "PrDy7Tl4",
  "functional": "PBE-GGA",
  "state": "relaxed",
  "delta_e_f_ev_per_atom": -0.023,
  "magmom_total_mub_per_cell": 0.0,
  "dft_energy_ev_per_atom": -3.89,
  "lattice": [[-0.3988, -3.0559, 4.8545], [-2.7459, -8.5707, -2.2153], [6.2622, -4.7103, 0.9549]],
  "species": ["Pr", "Dy", "Dy", "Dy", "Dy", "Dy", "Dy", "Dy", "Tl", "Tl", "Tl", "Tl"],
  "frac_coords": [[0.0000, 0.0000, 0.0000], [0.7921, 0.8781, 0.5377], [0.2079, 0.1219, 0.4623], [0.0633, 0.6014, 0.2721], [0.9367, 0.3986, 0.7279], [0.2741, 0.6651, 0.7867], [0.5000, 0.0000, 0.0000], [0.7259, 0.3349, 0.2133], [0.5596, 0.2518, 0.6291], [0.4404, 0.7482, 0.3709], [0.6864, 0.6666, 0.9605], [0.3136, 0.3334, 0.0395]]
}



11.
{
  "formula": "Na2ScHgF6",
  "functional": "PBE-GGA",
  "state": "relaxed",
  "formation_energy_uncorrected_kj_per_mol_fu": -2554,
  "magmom_total_mub_per_cell": 0.6,
  "dft_energy_ev_per_atom": -4.70,
  "lattice": [[2.5251, 4.6340, 3.5963], [-3.8129, 3.9013, 3.3204], [-0.2290, -0.4171, 6.3684]],
  "species": ["Na", "Na", "Sc", "Hg", "F", "F", "F", "F", "F", "F"],
  "frac_coords": [[0.2500, 0.2500, 0.2500], [0.7500, 0.7500, 0.7500], [0.0000, 0.0000, 0.0000], [0.5000, 0.5000, 0.5000], [0.7763, 0.2237, 0.2237], [0.7763, 0.2237, 0.7763], [0.2237, 0.7763, 0.7763], [0.2237, 0.2237, 0.7763], [0.7763, 0.7763, 0.2237], [0.2237, 0.7763, 0.2237]]
}



12.
{
  "formula": "RbAl2Sn2",
  "functional": "PBE-GGA",
  "state": "relaxed",
  "delta_e_f_ev_per_atom": -0.042,
  "magmom_total_mub_per_cell": 0.0,
  "dft_energy_ev_per_atom": -3.33,
  "polymorph_energy_mev_per_atom": 15.1,
  "lattice": [[4.9555, 0.0000, 0.0000], [0.0000, 4.9555, 0.0000], [2.4777, 2.4777, 5.8735]],
  "species": ["Sn", "Sn", "Rb", "Al", "Al"],
  "frac_coords": [[0.3705, 0.3705, 0.2589], [0.6295, 0.6295, 0.7411], [0.0000, 0.0000, 0.0000], [0.7500, 0.2500, 0.5000], [0.2500, 0.7500, 0.5000]]
}



13.
{
  "formula": "Th2In2O7",
  "functional": "PBE-GGA",
  "state": "relaxed",
  "formation_energy_uncorrected_kj_per_mol_fu": -2851,
  "magmom_total_mub_per_cell": 0.0,
  "dft_energy_ev_per_atom": -7.69,
  "lattice": [[6.6460, 0.0000, 3.8371], [2.2153, 6.2659, 3.8371], [0.0000, 0.0000, 7.6742]],
  "species": ["Th", "Th", "Th", "Th", "In", "In", "In", "In", "O", "O", "O", "O", "O", "O", "O", "O", "O", "O", "O", "O", "O", "O"],
  "frac_coords": [[0.6250, 0.6250, 0.6250], [0.6250, 0.6250, 0.1250], [0.6250, 0.1250, 0.6250], [0.1250, 0.6250, 0.6250], [0.6250, 0.1250, 0.1250], [0.1250, 0.6250, 0.1250], [0.1250, 0.1250, 0.6250], [0.1250, 0.1250, 0.1250], [0.2292, 0.2292, 0.7708], [0.2292, 0.7708, 0.2292], [0.4792, 0.0208, 0.4792], [0.4792, 0.4792, 0.0208], [0.7500, 0.7500, 0.7500], [0.7708, 0.2292, 0.2292], [0.4792, 0.0208, 0.0208], [0.0208, 0.4792, 0.4792], [0.0208, 0.0208, 0.4792], [0.0208, 0.4792, 0.0208], [0.2292, 0.7708, 0.7708], [0.5000, 0.5000, 0.5000], [0.7708, 0.2292, 0.7708], [0.7708, 0.7708, 0.2292]]
}



14.
{
  "formula": "Li2HgAu",
  "functional": "PBE-GGA",
  "state": "relaxed",
  "delta_e_f_ev_per_atom": -0.301,
  "magmom_total_mub_per_cell": 0.0,
  "dft_energy_ev_per_atom": -2.15,
  "polymorph_energy_mev_per_atom": 152.6,
  "lattice": [[3.2762, 0.0000, 0.0000], [1.6381, 2.8372, 0.0000], [1.6381, 0.9457, 8.1388]],
  "species": ["Li", "Li", "Hg", "Au"],
  "frac_coords": [[0.0751, 0.0751, 0.7747], [0.2582, 0.2582, 0.2255], [0.5005, 0.5005, 0.4984], [0.6662, 0.6662, 0.0015]]
}



15.
{
  "formula": "CrInPt",
  "functional": "PBE-GGA",
  "state": "relaxed",
  "delta_e_f_ev_per_atom": -0.011,
  "magmom_total_mub_per_cell": 4.0,
  "dft_energy_ev_per_atom": -6.15,
  "lattice": [[-3.0139, -2.0297, 2.5564], [-0.9558, -4.2868, -0.6698], [1.2909, -3.0525, 2.9589]],
  "species": ["Cr", "In", "Pt"],
  "frac_coords": [[0.0000, 0.0000, 0.0000], [0.5000, 0.5000, 0.5000], [0.7500, 0.7500, 0.7500]]
}



16.
{
  "formula": "PmDy2Er2",
  "functional": "PBE-GGA",
  "state": "relaxed",
  "delta_e_f_ev_per_atom": 0.084,
  "magmom_total_mub_per_cell": 0.0,
  "dft_energy_ev_per_atom": -4.53,
  "polymorph_energy_mev_per_atom": 0.0,
  "lattice": [[9.3221, 0.0000, 0.0000], [0.0000, 9.3221, 0.0000], [0.0000, 0.0000, 3.7096]],
  "species": ["Pm", "Pm", "Dy", "Dy", "Dy", "Dy", "Er", "Er", "Er", "Er"],
  "frac_coords": [[0.0000, 0.0000, 0.0000], [0.5000, 0.5000, 0.0000], [0.1259, 0.6259, 0.0000], [0.6259, 0.8741, 0.0000], [0.8741, 0.3741, 0.0000], [0.3741, 0.1259, 0.0000], [0.3289, 0.8289, 0.5000], [0.8289, 0.6711, 0.5000], [0.6711, 0.1711, 0.5000], [0.1711, 0.3289, 0.5000]]
}



17.
{
  "formula": "CaAc2Tc2N6",
  "functional": "PBE-GGA",
  "state": "relaxed",
  "formation_energy_uncorrected_kj_per_mol_fu": -663,
  "magmom_total_mub_per_cell": 0.0,
  "dft_energy_ev_per_atom": -7.98,
  "lattice": [[-3.1502, 0.4035, 4.9313], [-3.3166, -4.5145, 1.7391], [2.6987, -3.6694, 5.5125]],
  "species": ["Ca", "Ac", "Ac", "Tc", "Tc", "N", "N", "N", "N", "N", "N"],
  "frac_coords": [[0.0000, 0.0000, 0.0000], [0.7888, 0.7888, 0.6335], [0.2112, 0.2112, 0.3665], [0.4029, 0.4029, 0.7912], [0.5971, 0.5971, 0.2088], [0.7380, 0.7380, 0.2909], [0.2331, 0.7380, 0.2909], [0.7380, 0.2331, 0.2909], [0.2620, 0.7669, 0.7091], [0.7669, 0.2620, 0.7091], [0.2620, 0.2620, 0.7091]]
}



18.
{
  "formula": "Li3Cu2S3O12",
  "functional": "PBE-GGA",
  "state": "relaxed",
  "formation_energy_uncorrected_kj_per_mol_fu": -2777,
  "magmom_total_mub_per_cell": 4.0,
  "dft_energy_ev_per_atom": -5.73,
  "polymorph_energy_mev_per_atom": 2.5,
  "lattice": [[-0.4779, -2.9000, -8.5112], [4.6237, -6.8735, 2.0824], [-6.3792, -12.3372, 4.5618]],
  "species": ["Li", "Li", "Li", "Li", "Li", "Li", "Li", "Li", "Li", "Li", "Li", "Li", "Cu", "Cu", "Cu", "Cu", "Cu", "Cu", "Cu", "Cu", "S", "S", "S", "S", "S", "S", "S", "S", "S", "S", "S", "S", "O", "O", "O", "O", "O", "O", "O", "O", "O", "O", "O", "O", "O", "O", "O", "O", "O", "O", "O", "O", "O", "O", "O", "O", "O", "O", "O", "O", "O", "O", "O", "O", "O", "O", "O", "O", "O", "O", "O", "O", "O", "O", "O", "O", "O", "O", "O", "O"],
  "frac_coords": [[0.9102, 0.4027, 0.6960], [0.4937, 0.7014, 0.3319], [0.2143, 0.0206, 0.1676], [0.7143, 0.9794, 0.3325], [0.4102, 0.5973, 0.8040], [0.9937, 0.2986, 0.1681], [0.0063, 0.7014, 0.8319], [0.5898, 0.4027, 0.1960], [0.2857, 0.0206, 0.6676], [0.7857, 0.9794, 0.8324], [0.5063, 0.2986, 0.6681], [0.0898, 0.5973, 0.3040], [0.9560, 0.3067, 0.9250], [0.4560, 0.6933, 0.5750], [0.0345, 0.8431, 0.4016], [0.5345, 0.1569, 0.0984], [0.4655, 0.8431, 0.9016], [0.9655, 0.1569, 0.5984], [0.5440, 0.3067, 0.4250], [0.0440, 0.6933, 0.0750], [0.7407, 0.5600, 0.5010], [0.6302, 0.2470, 0.8636], [0.9038, 0.9483, 0.1680], [0.1302, 0.7530, 0.6364], [0.4038, 0.0517, 0.3320], [0.2407, 0.4400, 0.9990], [0.7593, 0.5600, 0.0010], [0.5962, 0.9483, 0.6680], [0.8698, 0.2470, 0.3636], [0.0962, 0.0517, 0.8320], [0.3698, 0.7530, 0.1364], [0.2593, 0.4400, 0.4990], [0.1418, 0.5787, 0.4424], [0.0994, 0.1415, 0.8947], [0.3322, 0.4616, 0.5835], [0.4077, 0.8711, 0.1824], [0.6294, 0.5304, 0.5856], [0.7927, 0.2953, 0.8349], [0.6183, 0.1382, 0.9813], [0.0085, 0.8423, 0.2630], [0.7547, 0.9605, 0.2055], [0.8026, 0.7482, 0.4510], [0.5358, 0.4101, 0.8130], [0.0358, 0.5899, 0.6870], [0.9740, 0.1364, 0.1041], [0.4740, 0.8636, 0.3959], [0.3026, 0.2518, 0.0490], [0.2547, 0.0395, 0.2945], [0.1183, 0.8618, 0.5187], [0.5085, 0.1577, 0.2370], [0.2927, 0.7047, 0.6651], [0.1294, 0.4696, 0.9144], [0.8322, 0.5384, 0.9165], [0.5994, 0.8585, 0.6053], [0.9077, 0.1289, 0.3176], [0.6418, 0.4213, 0.0576], [0.3582, 0.5787, 0.9424], [0.0923, 0.8711, 0.6824], [0.4006, 0.1415, 0.3947], [0.1678, 0.4616, 0.0835], [0.8706, 0.5304, 0.0856], [0.7073, 0.2953, 0.3349], [0.4915, 0.8423, 0.7630], [0.8817, 0.1382, 0.4813], [0.7453, 0.9605, 0.7055], [0.6974, 0.7482, 0.9510], [0.5260, 0.1364, 0.6041], [0.0260, 0.8636, 0.8959], [0.9642, 0.4101, 0.3130], [0.4642, 0.5899, 0.1870], [0.1974, 0.2518, 0.5490], [0.2453, 0.0395, 0.7945], [0.9915, 0.1577, 0.7370], [0.3817, 0.8618, 0.0187], [0.2073, 0.7047, 0.1651], [0.3706, 0.4696, 0.4144], [0.5923, 0.1289, 0.8176], [0.6678, 0.5384, 0.4165], [0.9006, 0.8585, 0.1053], [0.8582, 0.4213, 0.5576]]
}



19.
{
  "formula": "Mg3BeCr",
  "functional": "PBE-GGA",
  "state": "relaxed",
  "delta_e_f_ev_per_atom": 1.212,
  "magmom_total_mub_per_cell": 4.6,
  "dft_energy_ev_per_atom": -2.42,
  "polymorph_energy_mev_per_atom": 587.6,
  "lattice": [[5.1402, 0.0000, 0.0000], [0.0000, 5.1402, 0.0000], [0.0000, 0.0000, 5.1402]],
  "species": ["Cr", "Mg", "Mg", "Mg", "Be"],
  "frac_coords": [[0.0000, 0.0000, 0.0000], [0.0000, 0.5000, 0.0000], [0.0000, 0.0000, 0.5000], [0.5000, 0.0000, 0.0000], [0.5000, 0.5000, 0.5000]]
}



20.
{
  "formula": "MnTc2Pb2",
  "functional": "PBE-GGA",
  "state": "relaxed",
  "delta_e_f_ev_per_atom": 0.881,
  "magmom_total_mub_per_cell": 4.6,
  "dft_energy_ev_per_atom": -6.58,
  "lattice": [[-3.5471, 3.2788, 2.4356], [-0.1872, 3.2843, -4.2945], [-0.9721, -5.2990, -0.4896]],
  "species": ["Mn", "Tc", "Tc", "Pb", "Pb"],
  "frac_coords": [[0.0000, 0.0000, 0.0000], [0.3578, 0.3578, 0.0000], [0.6422, 0.6422, 0.0000], [0.2500, 0.7500, 0.5000], [0.7500, 0.2500, 0.5000]]
}